A plane-wave DFT calculation with PBE was carried out for a relaxed structure of ZrGaO2F.

```
ZrGaO2F
1.0
4.172 0.000 0.000
0.000 4.172 0.000
0.000 0.000 4.315
Zr Ga O F
1 1 2 1
Cartesian
0.000 0.000 0.000
2.086 2.086 2.157
0.000 2.086 0.000
2.086 0.000 0.000
0.000 0.000 2.157
```

## Properties
**SG**: P4/mmm, No. 123
**Fermi-level density of states**: 0.000 states/eV per atom
**Calculated density**: 4.69 g/cm³
**Energy relative to the elements, uncorrected**: -2439 meV per atom